Version w
DFT (GGA-PBE) results for a relaxed ReTcAg2 crystal.

```
data_ReTcAg2
_space_group_name_H-M_alt 'C m m m'
_space_group_IT_number 65
_space_group_name_Hall '-C 2 2'
_cell_length_a 2.824
_cell_length_b 4.609
_cell_length_c 9.982
_cell_angle_alpha 90.00
_cell_angle_beta 90.00
_cell_angle_gamma 90.00
loop_
_atom_site_label
_atom_site_type_symbol
_atom_site_fract_x
_atom_site_fract_y
_atom_site_fract_z
_atom_site_occupancy
Re1 Re 0.000 0.000 0.000 1
Tc1 Tc 0.000 0.000 0.500 1
Ag1 Ag 0.000 0.500 0.251 1
```



Version x
DFT (GGA-PBE) results for a relaxed ReTcAg2 crystal.

```
data_ReTcAg2
_space_group_name_H-M_alt 'I -4 2 d'
_space_group_IT_number 122
_space_group_name_Hall 'I -4 2bw'
_cell_length_a 7.464
_cell_length_b 7.464
_cell_length_c 5.121
_cell_angle_alpha 90.00
_cell_angle_beta 90.00
_cell_angle_gamma 90.00
loop_
_atom_site_label
_atom_site_type_symbol
_atom_site_fract_x
_atom_site_fract_y
_atom_site_fract_z
_atom_site_occupancy
Re1 Re 0.000 0.000 0.000 1
Tc1 Tc 0.000 0.000 0.500 1
Ag1 Ag 0.247 0.750 0.125 1
```



Version y
DFT (GGA-PBE) results for a relaxed ReTcAg2 crystal.

```
data_ReTcAg2
_space_group_name_H-M_alt 'P m m 2'
_space_group_IT_number 25
_cell_length_a 2.782
_cell_length_b 3.945
_cell_length_c 5.942
_cell_angle_alpha 90.00
_cell_angle_beta 90.00
_cell_angle_gamma 90.00
loop_
_space_group_symop_operation_xyz
'x,y,z'
'-x,-y,z'
'-x,y,z'
'x,-y,z'
loop_
_atom_site_label
_atom_site_type_symbol
_atom_site_fract_x
_atom_site_fract_y
_atom_site_fract_z
_atom_site_occupancy
Re1 Re 0.000 0.000 0.000 1
Tc1 Tc 0.500 0.500 0.183 1
Ag1 Ag 0.000 0.000 0.471 1
Ag2 Ag 0.500 0.500 0.714 1
```



Version z
DFT (GGA-PBE) results for a relaxed ReTcAg2 crystal.

```
data_ReTcAg2
_space_group_name_H-M_alt 'P 4/m m m'
_space_group_IT_number 123
_space_group_name_Hall '-P 4 2'
_cell_length_a 2.640
_cell_length_b 2.640
_cell_length_c 9.208
_cell_angle_alpha 90.00
_cell_angle_beta 90.00
_cell_angle_gamma 90.00
loop_
_atom_site_label
_atom_site_type_symbol
_atom_site_fract_x
_atom_site_fract_y
_atom_site_fract_z
_atom_site_occupancy
Re1 Re 0.000 0.000 0.000 1
Tc1 Tc 0.000 0.000 0.500 1
Ag1 Ag 0.500 0.500 0.251 1
```



Which of them is least stable? Easy: version x.



Version w
DFT (GGA-PBE) results for a relaxed Re2Tc2Ag crystal.

```
data_Re2Tc2Ag
_space_group_name_H-M_alt 'P 4/m b m'
_space_group_IT_number 127
_space_group_name_Hall '-P 4 2ab'
_cell_length_a 7.641
_cell_length_b 7.641
_cell_length_c 2.776
_cell_angle_alpha 90.00
_cell_angle_beta 90.00
_cell_angle_gamma 90.00
loop_
_atom_site_label
_atom_site_type_symbol
_atom_site_fract_x
_atom_site_fract_y
_atom_site_fract_z
_atom_site_occupancy
Re1 Re 0.129 0.371 0.000 1
Tc1 Tc 0.162 0.662 0.500 1
Ag1 Ag 0.000 0.000 0.000 1
```



Version x
DFT (GGA-PBE) results for a relaxed Re2Tc2Ag crystal.

```
data_Re2Tc2Ag
_space_group_name_H-M_alt 'P 4/m b m'
_space_group_IT_number 127
_space_group_name_Hall '-P 4 2ab'
_cell_length_a 7.633
_cell_length_b 7.633
_cell_length_c 2.780
_cell_angle_alpha 90.00
_cell_angle_beta 90.00
_cell_angle_gamma 90.00
loop_
_atom_site_label
_atom_site_type_symbol
_atom_site_fract_x
_atom_site_fract_y
_atom_site_fract_z
_atom_site_occupancy
Re1 Re 0.155 0.345 0.000 1
Tc1 Tc 0.137 0.637 0.500 1
Ag1 Ag 0.000 0.000 0.500 1
```



Which of them is least stable? Easy: version x.



Version w
DFT (GGA-PBE) results for a relaxed YReTc2Ag crystal.

```
data_YReTc2Ag
_space_group_name_H-M_alt 'P 4/m m m'
_space_group_IT_number 123
_space_group_name_Hall '-P 4 2'
_cell_length_a 4.826
_cell_length_b 4.826
_cell_length_c 4.858
_cell_angle_alpha 90.00
_cell_angle_beta 90.00
_cell_angle_gamma 90.00
loop_
_atom_site_label
_atom_site_type_symbol
_atom_site_fract_x
_atom_site_fract_y
_atom_site_fract_z
_atom_site_occupancy
Y1 Y 0.000 0.000 0.000 1
Re1 Re 0.500 0.500 0.000 1
Tc1 Tc 0.000 0.500 0.500 1
Ag1 Ag 0.500 0.500 0.500 1
```



Version x
DFT (GGA-PBE) results for a relaxed YReTc2Ag crystal.

```
data_YReTc2Ag
_space_group_name_H-M_alt 'P 4/m m m'
_space_group_IT_number 123
_space_group_name_Hall '-P 4 2'
_cell_length_a 4.808
_cell_length_b 4.808
_cell_length_c 5.016
_cell_angle_alpha 90.00
_cell_angle_beta 90.00
_cell_angle_gamma 90.00
loop_
_atom_site_label
_atom_site_type_symbol
_atom_site_fract_x
_atom_site_fract_y
_atom_site_fract_z
_atom_site_occupancy
Y1 Y 0.000 0.000 0.000 1
Re1 Re 0.500 0.500 0.000 1
Tc1 Tc 0.000 0.500 0.500 1
Ag1 Ag 0.000 0.000 0.500 1
```



Which of them is least stable? Easy: version x.



Version w
DFT (GGA-PBE) results for a relaxed ReAgTe crystal.

```
data_ReAgTe
_space_group_name_H-M_alt 'I 4 m m'
_space_group_IT_number 107
_space_group_name_Hall 'I 4 -2'
_cell_length_a 3.162
_cell_length_b 3.162
_cell_length_c 12.480
_cell_angle_alpha 90.00
_cell_angle_beta 90.00
_cell_angle_gamma 90.00
loop_
_atom_site_label
_atom_site_type_symbol
_atom_site_fract_x
_atom_site_fract_y
_atom_site_fract_z
_atom_site_occupancy
Re1 Re 0.000 0.000 0.000 1
Ag1 Ag 0.000 0.000 0.649 1
Te1 Te 0.000 0.000 0.376 1
```



Version x
DFT (GGA-PBE) results for a relaxed ReAgTe crystal.

```
data_ReAgTe
_space_group_name_H-M_alt 'P 3 m 1'
_space_group_IT_number 156
_cell_length_a 3.1952
_cell_length_b 3.1952
_cell_length_c 7.0667
_cell_angle_alpha 90.00
_cell_angle_beta 90.00
_cell_angle_gamma 120.00
loop_
_space_group_symop_operation_xyz
'x,y,z'
'-y,x-y,z'
'-x+y,-x,z'
'-y,-x,z'
'-x+y,y,z'
'x,x-y,z'
loop_
_atom_site_label
_atom_site_type_symbol
_atom_site_fract_x
_atom_site_fract_y
_atom_site_fract_z
_atom_site_occupancy
Re1 Re 0.0000 0.0000 0.0000 1
Ag1 Ag 0.3333 0.6667 0.6840 1
Te1 Te 0.6667 0.3333 0.2650 1
```



Which of them is least stable? Easy: version w.



Version w
DFT (GGA-PBE) results for a relaxed ReAg2Te2 crystal.

```
data_ReAg2Te2
_space_group_name_H-M_alt 'I 4/m m m'
_space_group_IT_number 139
_space_group_name_Hall '-I 4 2'
_cell_length_a 4.249
_cell_length_b 4.249
_cell_length_c 14.340
_cell_angle_alpha 90.00
_cell_angle_beta 90.00
_cell_angle_gamma 90.00
loop_
_atom_site_label
_atom_site_type_symbol
_atom_site_fract_x
_atom_site_fract_y
_atom_site_fract_z
_atom_site_occupancy
Re1 Re 0.000 0.000 0.000 1
Ag1 Ag 0.000 0.000 0.409 1
Te1 Te 0.000 0.500 0.250 1
```



Version x
DFT (GGA-PBE) results for a relaxed ReAg2Te2 crystal.

```
data_ReAg2Te2
_space_group_name_H-M_alt 'P 4/m b m'
_space_group_IT_number 127
_space_group_name_Hall '-P 4 2ab'
_cell_length_a 7.524
_cell_length_b 7.524
_cell_length_c 3.794
_cell_angle_alpha 90.00
_cell_angle_beta 90.00
_cell_angle_gamma 90.00
loop_
_atom_site_label
_atom_site_type_symbol
_atom_site_fract_x
_atom_site_fract_y
_atom_site_fract_z
_atom_site_occupancy
Re1 Re 0.000 0.000 0.000 1
Ag1 Ag 0.129 0.371 0.000 1
Te1 Te 0.182 0.682 0.500 1
```



Which of them is least stable? Easy: version w.



Version w
DFT (GGA-PBE) results for a relaxed Th2ReAg crystal.

```
data_Th2ReAg
_space_group_name_H-M_alt 'R -3 m'
_space_group_IT_number 166
_space_group_name_Hall '-R 3 2"'
_cell_length_a 3.3069
_cell_length_b 3.3069
_cell_length_c 31.9793
_cell_angle_alpha 90.00
_cell_angle_beta 90.00
_cell_angle_gamma 120.00
loop_
_atom_site_label
_atom_site_type_symbol
_atom_site_fract_x
_atom_site_fract_y
_atom_site_fract_z
_atom_site_occupancy
Th1 Th 0.0000 0.0000 0.0814 1
Re1 Re 0.0000 0.0000 0.0000 1
Ag1 Ag 0.0000 0.0000 0.5000 1
```



Version x
DFT (GGA-PBE) results for a relaxed Th2ReAg crystal.

```
data_Th2ReAg
_space_group_name_H-M_alt 'P 4/m m m'
_space_group_IT_number 123
_space_group_name_Hall '-P 4 2'
_cell_length_a 3.494
_cell_length_b 3.494
_cell_length_c 8.133
_cell_angle_alpha 90.00
_cell_angle_beta 90.00
_cell_angle_gamma 90.00
loop_
_atom_site_label
_atom_site_type_symbol
_atom_site_fract_x
_atom_site_fract_y
_atom_site_fract_z
_atom_site_occupancy
Th1 Th 0.000 0.000 0.222 1
Re1 Re 0.500 0.500 0.000 1
Ag1 Ag 0.500 0.500 0.500 1
```



Which of them is least stable? Easy: version w.